11
Lattice="5.3645 -0.0049 0.0002 -2.6557 4.6610 0.0002 -1.0027 -1.7235 5.5883" Properties=species:S:1:pos:R:3 comment="Na2NpNi2O6 | Alexandria via LeMat-Bulk | PBE with a Hubbard U | optimized geometry" e_tot_ev_per_atom=-6.4929 sg="C2/m, No. 12" m_tot_mub_per_fu=5.0 pbc="T T T"
O 0.3765 0.6471 1.6805
O 1.2700 -0.9035 3.9106
O 1.3297 2.2856 3.9082
O -1.4131 0.6575 3.9106
O 0.4361 3.8362 1.6781
O 3.1193 2.2752 1.6781
Np -0.5013 -0.8617 2.7942
Ni 2.1807 0.6940 2.7943
Ni -0.4745 2.2387 2.7943
Na 3.9379 0.8251 0.0002
Na -1.2291 3.8311 0.0002